6
Lattice="3.825 0.000 0.000 0.000 7.068 0.000 -1.912 -3.534 8.967" Properties=species:S:1:pos:R:3 comment="Ba2Bi3Pb (GGA-PBE, optimized geometry)" sg="Immm (71)" polymorph_energy_kj_per_mol_atoms=21.66 formation_energy_mev_per_atom=-376 n_ef_per_ev_cell=5.569 pbc="T T T"
Bi 0.000 0.000 0.000
Bi 1.912 3.534 2.811
Bi 0.000 0.000 6.156
Ba 0.000 3.534 5.991
Ba 1.912 0.000 2.976
Pb 0.000 3.534 0.000